Computed, not measured: TiNiOs after structural relaxation at the PBE-GGA level of DFT.

Magnetic moment ... 0.000 Bohr magnetons per cell
E ... -8.54 eV/atom
Polymorph energy (0 for the lowest one) ... 0.194 eV per atom
Energy relative to the elements ... -0.241 eV per atom
Space group ... Amm2, No. 38

Unit cell a=4.2059 b=4.7685 c=4.7685 alpha=120.88 beta=90.00 gamma=90.00
Fractional coordinates of all 6 atoms:
Ti1 0.0000 0.1666 0.8334
Ti2 0.0000 0.8334 0.1666
Ni1 0.0000 0.4735 0.4735
Ni2 0.5000 0.1664 0.1664
Os1 0.5000 0.4927 0.8141
Os2 0.5000 0.8141 0.4927